VASP calculation (PBE) on LaInAgSn after structural relaxation.

The structure in extended XYZ format:
```
4
Lattice="0.0000 3.7454 3.7454 3.7454 0.0000 3.7454 3.7454 3.7454 0.0000" Properties=species:S:1:pos:R:3 pbc="T T T"
La 0.0000 0.0000 0.0000
In 3.7454 3.7454 3.7454
Ag 5.6182 5.6182 5.6182
Sn 1.8727 1.8727 1.8727
```

Space-group type ... F-43m (216)
ΔE_f ... -0.31 eV per atom
Uncorrected energy ... -15.77 eV/cell